[1]
Density functional theory data (PBE) for a relaxed structure of RbSbTe2Pb.

Cell and atoms, written as POSCAR:
```
RbSbTe2Pb
1.0
6.083 0.000 0.000
0.000 6.083 0.000
0.000 0.000 5.908
Te Pb Rb Sb
2 1 1 1
direct
0.000 0.500 0.000
0.500 0.000 0.000
0.000 0.000 0.000
0.500 0.500 0.500
0.000 0.000 0.500
```

M_tot   0.2434 μB/atom
Density   5.09 g cm⁻³
Formation energy from raw total energies   0.078 eV per atom
Relative energy among the computed polymorphs   0.0 kJ/mol of atoms

[2]
Density functional theory data (PBE) for a relaxed structure of RbTl2Sb2Pb.

Cell and atoms, written as POSCAR:
```
RbTl2Sb2Pb
1.0
5.492 0.000 0.000
-2.746 4.756 0.000
0.000 0.000 8.153
Pb Sb Rb Tl
1 2 1 2
direct
0.000 0.000 0.500
0.667 0.333 0.706
0.333 0.667 0.294
0.000 0.000 0.000
0.333 0.667 0.689
0.667 0.333 0.311
```

M_tot   0.0000 μB/atom
Density   7.37 g cm⁻³
Formation energy from raw total energies   -0.099 eV per atom

[3]
Density functional theory data (PBE) for a relaxed structure of Rb2TlSb3Pb4.

Cell and atoms, written as POSCAR:
```
Rb2TlSb3Pb4
1.0
-1.487 5.115 -0.182
-2.920 -1.004 -4.345
-10.667 -2.823 7.820
Rb Sb Pb Tl
2 3 4 1
direct
0.000 0.500 0.741
0.500 0.000 0.259
0.500 0.000 0.862
0.000 0.000 0.500
0.000 0.500 0.138
0.500 0.500 0.000
0.000 0.500 0.370
0.000 0.000 0.000
0.500 0.000 0.630
0.500 0.500 0.500
```

M_tot   0.0000 μB/atom
Density   6.78 g cm⁻³
Formation energy from raw total energies   -0.148 eV per atom

[4]
Density functional theory data (PBE) for a relaxed structure of Rb3Tl2Sb4Pb2.

Cell and atoms, written as POSCAR:
```
Rb3Tl2Sb4Pb2
1.0
5.331 0.000 0.000
-2.665 4.616 0.000
0.000 0.000 18.751
Rb Sb Pb Tl
3 4 2 2
direct
0.000 0.000 0.278
0.000 0.000 0.722
0.000 0.000 0.000
0.667 0.333 0.601
0.667 0.333 0.139
0.333 0.667 0.399
0.333 0.667 0.861
0.667 0.333 0.438
0.333 0.667 0.562
0.333 0.667 0.140
0.667 0.333 0.860
```

M_tot   0.0000 μB/atom
Density   5.64 g cm⁻³
Formation energy from raw total energies   -0.193 eV per atom

[5]
Density functional theory data (PBE) for a relaxed structure of RbTlSb2Pb4.

Cell and atoms, written as POSCAR:
```
RbTlSb2Pb4
1.0
-4.436 0.935 2.547
2.357 -1.086 4.506
2.820 10.504 1.057
Rb Pb Tl Sb
1 4 1 2
direct
0.000 0.000 0.500
0.500 0.000 0.186
0.500 0.000 0.814
0.000 0.500 0.186
0.000 0.500 0.814
0.000 0.000 0.000
0.500 0.500 0.643
0.500 0.500 0.357
```

M_tot   0.0000 μB/atom
Density   7.66 g cm⁻³
Formation energy from raw total energies   -0.062 eV per atom

[6]
Density functional theory data (PBE) for a relaxed structure of RbTlSb2Pb2.

Cell and atoms, written as POSCAR:
```
RbTlSb2Pb2
1.0
-4.810 -2.915 0.583
4.143 -2.009 -3.283
3.031 -3.773 6.135
Pb Tl Sb Rb
2 1 2 1
direct
0.667 0.333 0.679
0.333 0.667 0.321
0.000 0.000 0.500
0.667 0.333 0.283
0.333 0.667 0.717
0.000 0.000 0.000
```

M_tot   0.0000 μB/atom
Density   7.27 g cm⁻³
Formation energy from raw total energies   -0.163 eV per atom